1.
Pr2Ga4NiSn2 after structural relaxation. Source: Alexandria, functional GGA-PBE.

Values from the calculation:
**Crystal system**: tetragonal

abc: 6.494 6.494 6.494
angles: 91.28 119.26 119.26
Atoms (fractional coordinates):
Sn 0.000 0.717 0.717
Sn 0.000 0.283 0.283
Pr 0.500 0.750 0.250
Pr 0.500 0.250 0.750
Ga 0.536 0.268 0.268
Ga 0.000 0.268 0.732
Ga 0.464 0.732 0.732
Ga 0.000 0.732 0.268
Ni 0.000 0.000 0.000

2.
TbPrGa2Ni2 after structural relaxation. Source: Alexandria, functional GGA-PBE.

Values from the calculation:
**Crystal system**: trigonal

abc: 4.327 4.327 7.293
angles: 90.00 90.00 120.00
Atoms (fractional coordinates):
Ni 0.333 0.667 0.729
Ni 0.667 0.333 0.271
Ga 0.333 0.667 0.268
Ga 0.667 0.333 0.732
Tb 0.000 0.000 0.500
Pr 0.000 0.000 0.000

3.
PrYGaNi after structural relaxation. Source: Alexandria, functional GGA-PBE.

Values from the calculation:
**Crystal system**: cubic

abc: 5.057 5.057 5.057
angles: 60.00 60.00 60.00
Atoms (fractional coordinates):
Ga 0.250 0.250 0.250
Pr 0.500 0.500 0.500
Ni 0.750 0.750 0.750
Y 0.000 0.000 0.000

4.
PrZnGa2Ni after structural relaxation. Source: Alexandria, functional GGA-PBE.

Values from the calculation:
**Crystal system**: tetragonal

abc: 4.250 4.250 5.935
angles: 110.98 110.98 90.00
Atoms (fractional coordinates):
Ni 0.250 0.750 0.500
Ga 0.624 0.624 0.249
Ga 0.376 0.376 0.751
Pr 0.000 0.000 0.000
Zn 0.750 0.250 0.500

5.
PrZnGa2Ni2 after structural relaxation. Source: Alexandria, functional GGA-PBE.

Values from the calculation:
**Crystal system**: tetragonal

abc: 4.410 4.410 5.630
angles: 90.00 90.00 90.00
Atoms (fractional coordinates):
Ni 0.000 0.500 0.000
Ni 0.500 0.000 0.000
Ga 0.500 0.500 0.248
Ga 0.500 0.500 0.752
Zn 0.000 0.000 0.000
Pr 0.000 0.000 0.500

6.
PrZnGa4Ni2 after structural relaxation. Source: Alexandria, functional GGA-PBE.

Values from the calculation:
**Crystal system**: trigonal

abc: 4.169 4.169 9.344
angles: 77.11 77.11 60.00
Atoms (fractional coordinates):
Zn 0.500 0.500 0.500
Ga 0.877 0.877 0.370
Ga 0.403 0.403 0.792
Ga 0.597 0.597 0.208
Ga 0.123 0.123 0.630
Ni 0.772 0.772 0.685
Ni 0.228 0.228 0.315
Pr 0.000 0.000 0.000

7.
Pr2Zn4Ga3Ni after structural relaxation. Source: Alexandria, functional GGA-PBE.

Values from the calculation:
**Crystal system**: tetragonal

abc: 4.246 4.246 10.516
angles: 90.00 90.00 90.00
Atoms (fractional coordinates):
Zn 0.500 0.000 0.625
Zn 0.500 0.500 0.000
Zn 0.000 0.500 0.375
Zn 0.000 0.000 0.000
Ga 0.000 0.500 0.139
Ga 0.000 0.000 0.500
Ga 0.500 0.000 0.861
Pr 0.000 0.500 0.742
Pr 0.500 0.000 0.258
Ni 0.500 0.500 0.500

8.
PrZnGaNi3 after structural relaxation. Source: Alexandria, functional GGA-PBE.

Values from the calculation:
**Crystal system**: orthorhombic

abc: 5.922 5.649 6.579
angles: 115.42 90.00 90.00
Atoms (fractional coordinates):
Ga 0.250 0.364 0.727
Ga 0.750 0.636 0.273
Zn 0.750 0.065 0.130
Zn 0.250 0.935 0.870
Ni 0.500 0.713 0.000
Ni 0.500 0.287 0.000
Ni 0.250 0.150 0.300
Ni 0.750 0.850 0.700
Ni 0.000 0.713 0.000
Ni 0.000 0.287 0.000
Pr 0.250 0.695 0.390
Pr 0.750 0.305 0.610

9.
Pr2ZnGa2Ni5 after structural relaxation. Source: Alexandria, functional GGA-PBE.

Values from the calculation:
**Crystal system**: tetragonal

abc: 3.239 10.026 10.026
angles: 90.00 90.00 90.00
Atoms (fractional coordinates):
Pr 0.000 0.676 0.176
Pr 0.000 0.176 0.324
Pr 0.000 0.824 0.676
Pr 0.000 0.324 0.824
Ga 0.000 0.376 0.124
Ga 0.000 0.124 0.624
Ga 0.000 0.624 0.876
Ga 0.000 0.876 0.376
Ni 0.500 0.304 0.554
Ni 0.500 0.696 0.446
Ni 0.500 0.000 0.500
Ni 0.500 0.946 0.196
Ni 0.500 0.554 0.696
Ni 0.500 0.054 0.804
Ni 0.500 0.446 0.304
Ni 0.500 0.804 0.946
Ni 0.500 0.500 0.000
Ni 0.500 0.196 0.054
Zn 0.000 0.500 0.500
Zn 0.000 0.000 0.000

10.
PrZnGa2Ni5 after structural relaxation. Source: Alexandria, functional GGA-PBE.

Values from the calculation:
**Crystal system**: tetragonal

abc: 4.527 4.527 6.927
angles: 90.00 90.00 90.00
Atoms (fractional coordinates):
Ga 0.500 0.500 0.175
Ga 0.500 0.500 0.825
Ni 0.000 0.500 0.197
Ni 0.500 0.500 0.500
Ni 0.000 0.500 0.803
Ni 0.500 0.000 0.197
Ni 0.500 0.000 0.803
Pr 0.000 0.000 0.500
Zn 0.000 0.000 0.000

11.
Pr2ZnGa3Ni12 after structural relaxation. Source: Alexandria, functional GGA-PBE.

Values from the calculation:
**Crystal system**: trigonal

abc: 6.405 6.405 6.405
angles: 84.13 84.13 84.13
Atoms (fractional coordinates):
Ni 0.809 0.278 0.809
Ni 0.191 0.722 0.191
Ni 0.114 0.604 0.604
Ni 0.886 0.396 0.396
Ni 0.809 0.809 0.278
Ni 0.604 0.114 0.604
Ni 0.278 0.809 0.809
Ni 0.396 0.396 0.886
Ni 0.396 0.886 0.396
Ni 0.604 0.604 0.114
Ni 0.191 0.191 0.722
Ni 0.722 0.191 0.191
Ga 0.000 0.000 0.500
Ga 0.000 0.500 0.000
Ga 0.500 0.000 0.000
Pr 0.336 0.336 0.336
Pr 0.664 0.664 0.664
Zn 0.000 0.000 0.000

12.
PrZnGa3Ni after structural relaxation. Source: Alexandria, functional GGA-PBE.

Values from the calculation:
**Crystal system**: orthorhombic

abc: 6.085 5.946 6.916
angles: 115.46 90.00 90.00
Atoms (fractional coordinates):
Zn 0.750 0.650 0.301
Zn 0.250 0.350 0.699
Ga 0.000 0.714 0.000
Ga 0.500 0.714 0.000
Ga 0.750 0.861 0.722
Ga 0.000 0.286 0.000
Ga 0.500 0.286 0.000
Ga 0.250 0.139 0.278
Pr 0.250 0.719 0.438
Pr 0.750 0.281 0.562
Ni 0.750 0.062 0.125
Ni 0.250 0.938 0.875

13.
Pr2Zn3Ga4Ni after structural relaxation. Source: Alexandria, functional GGA-PBE.

Values from the calculation:
**Crystal system**: tetragonal

abc: 4.266 4.266 10.450
angles: 90.00 90.00 90.00
Atoms (fractional coordinates):
Zn 0.000 0.500 0.139
Zn 0.500 0.000 0.861
Zn 0.000 0.000 0.500
Ga 0.500 0.000 0.622
Ga 0.000 0.000 0.000
Ga 0.000 0.500 0.378
Ga 0.500 0.500 0.000
Ni 0.500 0.500 0.500
Pr 0.500 0.000 0.257
Pr 0.000 0.500 0.743

14.
PrZn2GaNi2 after structural relaxation. Source: Alexandria, functional GGA-PBE.

Values from the calculation:
**Crystal system**: tetragonal

abc: 4.412 4.412 5.722
angles: 90.00 90.00 90.00
Atoms (fractional coordinates):
Ni 0.000 0.500 0.000
Ni 0.500 0.000 0.000
Ga 0.000 0.000 0.000
Zn 0.500 0.500 0.248
Zn 0.500 0.500 0.752
Pr 0.000 0.000 0.500

15.
PrZn2GaNi after structural relaxation. Source: Alexandria, functional GGA-PBE.

Values from the calculation:
**Crystal system**: orthorhombic

abc: 4.088 4.240 6.097
angles: 110.35 109.59 90.00
Atoms (fractional coordinates):
Pr 0.440 0.440 0.879
Ga 0.199 0.699 0.398
Ni 0.823 0.823 0.646
Zn 0.701 0.201 0.401
Zn 0.050 0.050 0.100

16.
PrZnGa2Ni4 after structural relaxation. Source: Alexandria, functional GGA-PBE.

Values from the calculation:
**Crystal system**: trigonal

abc: 4.069 4.069 8.802
angles: 76.64 76.64 60.00
Atoms (fractional coordinates):
Ga 0.237 0.237 0.289
Ga 0.763 0.763 0.711
Ni 0.868 0.868 0.397
Ni 0.132 0.132 0.603
Ni 0.407 0.407 0.780
Ni 0.593 0.593 0.220
Zn 0.500 0.500 0.500
Pr 0.000 0.000 0.000

17.
GaNiPt2 after structural relaxation. Source: Alexandria, functional GGA-PBE.

Values from the calculation:
**Crystal system**: trigonal

abc: 4.243 4.243 4.482
angles: 61.75 61.75 60.00
Atoms (fractional coordinates):
Pt 0.246 0.246 0.263
Pt 0.011 0.011 0.968
Ni 0.481 0.481 0.556
Ga 0.762 0.762 0.714

18.
GaNi6Pt after structural relaxation. Source: Alexandria, functional GGA-PBE.

Values from the calculation:
**Excess energy over the best structure of this formula in the dataset**: 15.0 meV/atom
**Crystal system**: hexagonal

abc: 4.196 5.115 5.115
angles: 119.98 90.00 90.00
Site moments in Bohr magnetons follow the coordinates.
Atoms (fractional coordinates):
Ni 0.000 0.586 0.414  0.48
Ni 0.500 0.423 0.087  0.49
Ni 0.500 0.913 0.087  0.49
Ni 0.000 0.586 0.922  0.48
Ni 0.000 0.078 0.414  0.48
Ni 0.500 0.913 0.577  0.49
Pt 0.000 0.083 0.917  0.34
Ga 0.500 0.416 0.584  -0.03

19.
Ga2Ni4Pt after structural relaxation. Source: Alexandria, functional GGA-PBE.

Values from the calculation:
**Excess energy over the best structure of this formula in the dataset**: 0.0 meV/atom
**Crystal system**: tetragonal

abc: 4.012 6.766 6.766
angles: 90.00 90.00 90.00
Atoms (fractional coordinates):
Ni 0.000 0.126 0.384
Ni 0.500 0.116 0.626
Ni 0.500 0.374 0.884
Ni 0.000 0.616 0.874
Ni 0.500 0.626 0.116
Ni 0.000 0.874 0.616
Ni 0.000 0.384 0.126
Ni 0.500 0.884 0.374
Ga 0.000 0.192 0.808
Ga 0.000 0.808 0.192
Ga 0.500 0.308 0.308
Ga 0.500 0.692 0.692
Pt 0.000 0.500 0.500
Pt 0.500 0.000 0.000

20.
Ga2Ni5Pt after structural relaxation. Source: Alexandria, functional GGA-PBE.

Values from the calculation:
**Excess energy over the best structure of this formula in the dataset**: 10.3 meV/atom
**Crystal system**: tetragonal

abc: 5.174 5.174 5.181
angles: 119.95 119.95 90.00
Site moments in Bohr magnetons follow the coordinates.
Atoms (fractional coordinates):
Ni 0.223 0.223 0.944  0.28
Ni 0.223 0.722 0.944  0.28
Ni 0.722 0.223 0.944  0.28
Ni 0.722 0.722 0.944  0.28
Ni 0.723 0.723 0.446  0.33
Ga 0.722 0.222 0.443  -0.02
Ga 0.222 0.722 0.443  -0.02
Pt 0.222 0.222 0.443  0.06

21.
Ga3Ni6Pt after structural relaxation. Source: Alexandria, functional GGA-PBE.

Values from the calculation:
**Crystal system**: orthorhombic

abc: 4.962 7.499 7.499
angles: 111.30 90.00 90.00
Atoms (fractional coordinates):
Ni 0.347 0.043 0.467
Ni 0.847 0.957 0.533
Ni 0.847 0.467 0.043
Ni 0.284 0.968 0.032
Ni 0.085 0.698 0.598
Ni 0.784 0.032 0.968
Ni 0.585 0.302 0.402
Ni 0.347 0.533 0.957
Ni 0.628 0.261 0.739
Ni 0.085 0.402 0.302
Ni 0.585 0.598 0.698
Ni 0.128 0.739 0.261
Ga 0.672 0.614 0.386
Ga 0.460 0.913 0.709
Ga 0.960 0.087 0.291
Ga 0.960 0.709 0.913
Ga 0.460 0.291 0.087
Ga 0.172 0.386 0.614
Pt 0.117 0.186 0.814
Pt 0.617 0.814 0.186

22.
GaNi8Pt2 after structural relaxation. Source: Alexandria, functional GGA-PBE.

Values from the calculation:
**Crystal system**: monoclinic

abc: 3.670 5.770 6.771
angles: 105.42 105.72 90.00
Site moments in Bohr magnetons follow the coordinates.
Atoms (fractional coordinates):
Ga 0.500 0.000 0.000  -0.03
Pt 0.777 0.355 0.553  0.21
Pt 0.223 0.645 0.447  0.21
Ni 0.958 0.275 0.917  0.46
Ni 0.414 0.550 0.827  0.53
Ni 0.678 0.909 0.355  0.44
Ni 0.042 0.725 0.083  0.46
Ni 0.133 0.174 0.266  0.39
Ni 0.586 0.450 0.173  0.53
Ni 0.322 0.091 0.645  0.44
Ni 0.867 0.826 0.734  0.39

no.,ΔH_f (0 K) (kJ/mol of formula units)
1,-421
2,-324
3,-143
4,-234
5,-130
6,-270
7,-403
8,-106
9,-211
10,-5
11,-140
12,-145
13,-461
14,-85
15,-190
16,-292
17,-102
18,-125
19,-137
20,-248
21,-148
22,-147